A plane-wave DFT calculation with GGA-PBE was carried out for a relaxed structure of PmTmPb4.

a = 6.2635 Å, b = 8.6187 Å, c = 8.4489 Å
α = 111.53°, β = 100.01°, γ = 112.70°
Last column: nearest neighbours and their distance in Å.
Element x y z (fractional)
Pm 0.3514 0.6014 0.2029  10 Pb 3.34-3.59
Pm 0.6486 0.3986 0.7971  10 Pb 3.34-3.59
Tm 0.2342 0.9842 0.9683  6 Pb 3.15-3.29, 2 Tm 3.17
Tm 0.7658 0.0158 0.0317  6 Pb 3.15-3.29, 2 Tm 3.17
Pb 0.0472 0.2015 0.8006  2 Tm 3.15-3.29, 3 Pb 3.16-3.44, 3 Pm 3.34-3.52
Pb 0.7485 0.7108 0.5976  2 Tm 3.22-3.60, 5 Pb 3.27-3.47, 2 Pm 3.35-3.59
Pb 0.2534 0.5991 0.8006  2 Tm 3.15-3.29, 3 Pb 3.16-3.44, 3 Pm 3.34-3.52
Pb 0.3491 0.8867 0.5976  2 Tm 3.22-3.60, 5 Pb 3.27-3.47, 2 Pm 3.35-3.59
Pb 0.6509 0.1133 0.4024  2 Tm 3.22-3.60, 5 Pb 3.27-3.47, 2 Pm 3.35-3.59
Pb 0.7466 0.4009 0.1994  2 Tm 3.15-3.29, 3 Pb 3.16-3.44, 3 Pm 3.34-3.52
Pb 0.2515 0.2892 0.4024  2 Tm 3.22-3.60, 5 Pb 3.27-3.47, 2 Pm 3.35-3.59
Pb 0.9528 0.7985 0.1994  2 Tm 3.15-3.29, 3 Pb 3.16-3.44, 3 Pm 3.34-3.52

Computed properties:
The density of states at the Fermi level is 8.65 states/eV/cell. The final energy is -4.230 eV per atom. The value obtained for the calculated formation energy is -220.6 meV/atom.



A plane-wave DFT calculation with GGA-PBE was carried out for a relaxed structure of TaCrSiAu2.

a = 4.6243 Å, b = 4.7675 Å, c = 4.6243 Å
α = 90.00°, β = 90.00°, γ = 90.00°
Last column: nearest neighbours and their distance in Å.
Element x y z (fractional)
Cr 0.5000 0.5000 0.5000  4 Ta 3.27, 8 Au 3.32
Si 0.0000 0.0000 0.0000  4 Au 2.31, 2 Ta 2.38
Au 0.0000 0.0000 0.5000  2 Si 2.31
Au 0.5000 0.0000 0.0000  2 Si 2.31
Ta 0.0000 0.5000 0.0000  2 Si 2.38

Computed properties:
The density of states at the Fermi level is 2.56 states/eV/cell. The calculation puts the formation energy without anion corrections at 754 meV per atom. The final energy is -5.937 eV per atom.



Question: The highest final energy belongs to which entry?
Answer: PmTmPb4



Question: The highest final energy belongs to which entry?
Answer: PmTmPb4



Question: Which value of final energy does entry 2 give?
Answer: -5.937 eV per atom